Model w:
First-principles (PBE) data for a geometry-optimized BaMnRu2 structure, as listed in Alexandria via LeMat-Bulk.

The symmetry is P4/mmm, No. 123. The calculation puts the density of states at the Fermi level at 4.4 states/eV/cell.

```
BaMnRu2
1.0
3.1163 0.0000 0.0000
0.0000 3.1163 0.0000
0.0000 0.0000 7.8131
Ba Mn Ru
1 1 2
Cartesian
0.0000 0.0000 0.0000
0.0000 0.0000 3.9066
1.5581 1.5581 2.5616
1.5581 1.5581 5.2515
```

***

Model x:
First-principles (PBE) data for a geometry-optimized BaMnRu2 structure, as listed in Alexandria via LeMat-Bulk.

The symmetry is P4/mmm, No. 123. The calculation puts the density of states at the Fermi level at 6.8 states/eV/cell.

```
BaMnRu2
1.0
4.7737 0.0000 0.0000
0.0000 4.7737 0.0000
0.0000 0.0000 3.3619
Ba Mn Ru
1 1 2
Cartesian
0.0000 0.0000 0.0000
2.3868 2.3868 0.0000
0.0000 2.3868 1.6809
2.3868 0.0000 1.6809
```

***

Of them, model w has the highest stability.

***

Model w:
First-principles (PBE) data for a geometry-optimized BaMnRu2 structure, as listed in Alexandria via LeMat-Bulk.

The symmetry is Fm-3m, No. 225. The calculation puts the density of states at the Fermi level at 18.8 states/eV/cell.

```
BaMnRu2
1.0
0.0000 3.2955 3.2955
3.2955 0.0000 3.2955
3.2955 3.2955 0.0000
Ba Mn Ru
1 1 2
Cartesian
0.0000 0.0000 0.0000
3.2955 3.2955 3.2955
1.6477 1.6477 1.6477
4.9432 4.9432 4.9432
```

***

Model x:
First-principles (PBE) data for a geometry-optimized BaMnRu2 structure, as listed in Alexandria via LeMat-Bulk.

The symmetry is Pmmm, No. 47. The calculation puts the density of states at the Fermi level at 4.9 states/eV/cell.

```
BaMnRu2
1.0
3.1917 0.0000 0.0000
0.0000 4.6546 0.0000
0.0000 0.0000 5.1289
Ba Mn Ru
1 1 2
Cartesian
0.0000 0.0000 0.0000
1.5959 0.0000 2.5644
0.0000 2.3273 2.5644
1.5959 2.3273 0.0000
```

***

Model y:
First-principles (PBE) data for a geometry-optimized BaMnRu2 structure, as listed in Alexandria via LeMat-Bulk.

The symmetry is C2/m, No. 12. The calculation puts the density of states at the Fermi level at 5.7 states/eV/cell.

```
BaMnRu2
1.0
2.9907 -4.6434 0.0000
2.9907 4.6434 0.0000
-1.3491 0.0000 2.7173
Ba Mn Ru
1 1 2
Cartesian
0.0000 0.0000 0.0000
2.9907 0.0000 0.0000
0.8208 2.3217 1.3586
0.8208 -2.3217 1.3586
```

***

Model z:
First-principles (PBE) data for a geometry-optimized BaMnRu2 structure, as listed in Alexandria via LeMat-Bulk.

The symmetry is R3m, No. 160. The calculation puts the density of states at the Fermi level at 2.9 states/eV/cell.

```
BaMnRu2
1.0
2.1712 1.2535 5.8909
-2.1712 1.2535 5.8909
0.0000 -2.5071 5.8909
Ba Mn Ru
1 1 2
Cartesian
0.0000 0.0000 0.0000
0.0000 0.0000 3.3916
0.0000 0.0000 8.5379
0.0000 0.0000 14.3280
```

***

Of them, model z has the highest stability.

***

Model w:
First-principles (PBE) data for a geometry-optimized BaMnRu2 structure, as listed in Alexandria via LeMat-Bulk.

The symmetry is Pm, No. 6. The calculation puts the density of states at the Fermi level at 3.4 states/eV/cell.

```
BaMnRu2
1.0
3.9366 0.0000 0.0000
0.0000 3.9354 0.0000
-0.0079 0.0000 6.0280
Ba Mn Ru
1 1 2
Cartesian
0.0000 0.0000 0.0000
1.9574 1.9677 4.0207
1.9602 0.0000 2.8344
3.9265 1.9677 2.8351
```

***

Model x:
First-principles (PBE) data for a geometry-optimized BaMnRu2 structure, as listed in Alexandria via LeMat-Bulk.

The symmetry is I4_1/amd, No. 141. The calculation puts the density of states at the Fermi level at 14.6 states/eV/cell.

```
BaMnRu2
1.0
-2.5492 2.5492 7.6577
2.5492 -2.5492 7.6577
2.5492 2.5492 -7.6577
Ba Mn Ru
2 2 4
Cartesian
2.5492 1.2746 1.9144
0.0000 1.2746 5.7433
2.5492 -1.2746 5.7433
0.0000 3.8238 1.9144
0.0000 0.0000 0.0000
1.2746 1.2746 -3.8288
1.2746 -1.2746 3.8288
0.0000 2.5492 0.0000
```

***

Model y:
First-principles (PBE) data for a geometry-optimized BaMnRu2 structure, as listed in Alexandria via LeMat-Bulk.

The symmetry is R-3m, No. 166. The calculation puts the density of states at the Fermi level at 3.9 states/eV/cell.

```
BaMnRu2
1.0
2.1665 1.2508 5.8582
-2.1665 1.2508 5.8582
0.0000 -2.5016 5.8582
Ba Mn Ru
1 1 2
Cartesian
0.0000 0.0000 0.0000
0.0000 0.0000 8.7874
0.0000 0.0000 3.2897
0.0000 0.0000 14.2851
```

***

Model z:
First-principles (PBE) data for a geometry-optimized BaMnRu2 structure, as listed in Alexandria via LeMat-Bulk.

The symmetry is Immm, No. 71. The calculation puts the density of states at the Fermi level at 4.8 states/eV/cell.

```
BaMnRu2
1.0
-1.6051 2.8182 4.5333
1.6051 -2.8182 4.5333
1.6051 2.8182 -4.5333
Ba Mn Ru
1 1 2
Cartesian
0.0000 0.0000 0.0000
0.0000 0.0000 4.5333
1.6051 0.0000 2.8941
0.0000 2.8182 1.6392
```

***

Of them, model y has the highest stability.

***

Model w:
First-principles (PBE) data for a geometry-optimized BaMnRu2 structure, as listed in Alexandria via LeMat-Bulk.

The symmetry is Imm2, No. 44. The calculation puts the density of states at the Fermi level at 4.6 states/eV/cell.

```
BaMnRu2
1.0
-1.5294 2.6358 5.1358
1.5294 -2.6358 5.1358
1.5294 2.6358 -5.1358
Ba Mn Ru
1 1 2
Cartesian
0.0000 0.0000 0.0000
1.5294 0.0000 3.0524
0.0000 0.0000 5.2898
0.0000 2.6358 2.2096
```

***

Model x:
First-principles (PBE) data for a geometry-optimized BaMnRu2 structure, as listed in Alexandria via LeMat-Bulk.

The symmetry is Pmm2, No. 25. The calculation puts the density of states at the Fermi level at 3.5 states/eV/cell.

```
BaMnRu2
1.0
2.9994 0.0000 0.0000
0.0000 3.6116 0.0000
0.0000 0.0000 7.6831
Ba Mn Ru
1 1 2
Cartesian
0.0000 0.0000 0.0000
1.4997 1.8058 2.6798
0.0000 0.0000 4.0376
1.4997 1.8058 5.1685
```

***

Model y:
First-principles (PBE) data for a geometry-optimized BaMnRu2 structure, as listed in Alexandria via LeMat-Bulk.

The symmetry is I-4m2, No. 119. The calculation puts the density of states at the Fermi level at 5.3 states/eV/cell.

```
BaMnRu2
1.0
-2.3844 2.3844 3.3810
2.3844 -2.3844 3.3810
2.3844 2.3844 -3.3810
Ba Mn Ru
1 1 2
Cartesian
0.0000 0.0000 0.0000
2.3844 0.0000 1.6905
0.0000 0.0000 3.3810
0.0000 2.3844 1.6905
```

***

Of them, model x has the highest stability.

***

Model w:
First-principles (PBE) data for a geometry-optimized BaMnRu3 structure, as listed in Alexandria via LeMat-Bulk.

The symmetry is Pm-3m, No. 221. The calculation puts the density of states at the Fermi level at 10.9 states/eV/cell.

```
BaMnRu3
1.0
4.9290 0.0000 0.0000
0.0000 4.9290 0.0000
0.0000 0.0000 4.9290
Ba Mn Ru
1 1 3
Cartesian
0.0000 0.0000 0.0000
2.4645 2.4645 2.4645
0.0000 0.0000 2.4645
0.0000 2.4645 0.0000
2.4645 0.0000 0.0000
```

***

Model x:
First-principles (PBE) data for a geometry-optimized BaMnRu3 structure, as listed in Alexandria via LeMat-Bulk.

The symmetry is Pm-3m, No. 221. The calculation puts the density of states at the Fermi level at 5.9 states/eV/cell.

```
BaMnRu3
1.0
4.6079 0.0000 0.0000
0.0000 4.6079 0.0000
0.0000 0.0000 4.6079
Ba Mn Ru
1 1 3
Cartesian
0.0000 0.0000 0.0000
2.3039 2.3039 2.3039
0.0000 2.3039 2.3039
2.3039 0.0000 2.3039
2.3039 2.3039 0.0000
```

***

Of them, model x has the highest stability.

***

Model w:
First-principles (PBE) data for a geometry-optimized BaScMn2 structure, as listed in Alexandria via LeMat-Bulk.

The symmetry is Imm2, No. 44. The calculation puts the density of states at the Fermi level at 5.6 states/eV/cell.

```
BaScMn2
1.0
-1.8016 2.3055 6.2747
1.8016 -2.3055 6.2747
1.8016 2.3055 -6.2747
Ba Sc Mn
1 1 2
Cartesian
0.0000 0.0000 0.0000
0.0000 2.3055 3.0332
1.8016 0.0000 3.2422
0.0000 0.0000 4.4705
```

***

Model x:
First-principles (PBE) data for a geometry-optimized BaScMn2 structure, as listed in Alexandria via LeMat-Bulk.

The symmetry is R-3m, No. 166. The calculation puts the density of states at the Fermi level at 5.2 states/eV/cell.

```
BaScMn2
1.0
1.6732 0.9660 10.0320
-1.6732 0.9660 10.0320
0.0000 -1.9320 10.0320
Ba Sc Mn
1 1 2
Cartesian
0.0000 0.0000 0.0000
0.0000 0.0000 15.0480
0.0000 0.0000 7.1904
0.0000 0.0000 22.9056
```

***

Model y:
First-principles (PBE) data for a geometry-optimized BaScMn2 structure, as listed in Alexandria via LeMat-Bulk.

The symmetry is P4/mmm, No. 123. The calculation puts the density of states at the Fermi level at 4.9 states/eV/cell.

```
BaScMn2
1.0
5.2717 0.0000 0.0000
0.0000 5.2717 0.0000
0.0000 0.0000 3.4848
Ba Sc Mn
1 1 2
Cartesian
0.0000 0.0000 0.0000
2.6359 2.6359 0.0000
0.0000 2.6359 1.7424
2.6359 0.0000 1.7424
```

***

Of them, model w has the highest stability.